[1]
# BaPr2ZnS5

An optimized crystal structure of BaPr2ZnS5 (PBEsol, the Alexandria database).

```
BaPr2ZnS5
1.0
-3.9152 3.9152 6.7623
3.9152 -3.9152 6.7623
3.9152 3.9152 -6.7623
Ba Pr Zn S
2 4 2 10
direct
0.2500 0.2500 0.0000
0.7500 0.7500 0.0000
0.1607 0.6607 0.8214
0.3393 0.1607 0.5000
0.6607 0.8393 0.5000
0.8393 0.3393 0.1786
0.2500 0.7500 0.5000
0.7500 0.2500 0.5000
0.0000 0.0000 0.0000
0.0150 0.2153 0.5000
0.2153 0.7153 0.2003
0.2847 0.4850 0.5000
0.4850 0.9850 0.2003
0.5000 0.5000 0.0000
0.5150 0.0150 0.7997
0.7153 0.5150 0.5000
0.7847 0.2847 0.7997
0.9850 0.7847 0.5000
```

Output
magnetization	0.00	μB per formula unit
uncorrected energy	-105.10	eV/cell


[2]
# B4C

An optimized crystal structure of B4C (PBEsol, the Alexandria database).

```
B4C
1.0
2.8096 1.6221 4.0230
-2.8096 1.6221 4.0230
0.0000 -3.2443 4.0230
B C
12 3
direct
0.0059 0.0059 0.3296
0.0059 0.3296 0.0059
0.1939 0.1939 0.6906
0.1939 0.6906 0.1939
0.3094 0.8061 0.8061
0.3296 0.0059 0.0059
0.6704 0.9941 0.9941
0.6906 0.1939 0.1939
0.8061 0.3094 0.8061
0.8061 0.8061 0.3094
0.9941 0.6704 0.9941
0.9941 0.9941 0.6704
0.3896 0.3896 0.3896
0.5000 0.5000 0.5000
0.6104 0.6104 0.6104
```

Output
E above lowest polymorph	0.000	eV/f.u.
magnetization	0.00	μB per formula unit


[3]
# AlP2Pt

An optimized crystal structure of AlP2Pt (PBEsol, the Alexandria database).

```
AlP2Pt
1.0
4.2862 0.0000 0.0000
0.0000 3.5446 0.0000
-1.3239 0.0000 4.3001
Al P Pt
1 2 1
direct
0.0000 0.0000 0.0000
0.2330 0.5000 0.6817
0.7670 0.5000 0.3183
0.5000 0.0000 0.5000
```

Output
magnetization	0.00	μB per formula unit
uncorrected energy	-24.23	eV/cell


[4]
# LiReNi2

An optimized crystal structure of LiReNi2 (PBEsol, the Alexandria database).

```
LiReNi2
1.0
2.6436 0.0000 0.0000
0.0000 2.6436 0.0000
0.0000 0.0000 6.6819
Li Re Ni
1 1 2
direct
0.0000 0.0000 0.0000
0.0000 0.0000 0.5000
0.5000 0.5000 0.2439
0.5000 0.5000 0.7561
```

Output
E above lowest polymorph	0.076	eV/f.u.
magnetization	0.00	μB per formula unit


[5]
# AgAsSe2

An optimized crystal structure of AgAsSe2 (PBEsol, the Alexandria database).

```
AgAsSe2
1.0
11.9836 0.0000 0.0000
0.0000 3.7214 0.0000
-0.0790 0.0000 3.8593
Ag As Se
2 2 4
direct
0.0000 0.0000 0.0000
0.5000 0.5000 0.0000
0.2433 0.5000 0.5110
0.7433 0.0000 0.5110
0.0436 0.5000 0.4992
0.2838 0.0000 0.9678
0.5436 0.0000 0.4992
0.7838 0.5000 0.9678
```

Output
magnetization	0.00	μB per formula unit
uncorrected energy	-32.42	eV/cell


[6]
# TaIn2Fe

An optimized crystal structure of TaIn2Fe (PBEsol, the Alexandria database).

```
TaIn2Fe
1.0
2.8858 0.0000 0.0000
0.0000 4.0871 0.0000
0.0000 0.0000 5.9422
Ta In Fe
1 2 1
direct
0.0000 0.0000 0.0000
0.5000 0.5000 0.2624
0.5000 0.5000 0.7376
0.0000 0.0000 0.5000
```

Output
magnetization	2.59	μB per formula unit
uncorrected energy	-26.14	eV/cell


[7]
# Cs2SrW2

An optimized crystal structure of Cs2SrW2 (PBEsol, the Alexandria database).

```
Cs2SrW2
1.0
4.8995 0.0000 0.0000
0.0000 4.8995 0.0000
0.0000 0.0000 15.9335
Cs Sr W
4 2 4
direct
0.0000 0.5000 0.2500
0.0000 0.5000 0.7500
0.5000 0.0000 0.2500
0.5000 0.0000 0.7500
0.0000 0.0000 0.0000
0.5000 0.5000 0.5000
0.0000 0.0000 0.4337
0.0000 0.0000 0.5663
0.5000 0.5000 0.0663
0.5000 0.5000 0.9337
```

Output
magnetization	0.00	μB per formula unit
uncorrected energy	-45.92	eV/cell


[8]
# Li4Mn3V2Cr3O16

An optimized crystal structure of Li4Mn3V2Cr3O16 (PBEsol, the Alexandria database).

```
Li4Mn3V2Cr3O16
1.0
4.9683 -2.8554 0.0000
4.9683 2.8554 0.0000
-0.0143 0.0000 9.2720
Li Mn V Cr O
4 3 2 3 16
direct
0.0000 0.0000 0.0000
0.0011 0.0011 0.5004
0.3297 0.3297 0.1019
0.6630 0.6630 0.6014
0.1691 0.1691 0.7814
0.3393 0.8281 0.2823
0.8281 0.3393 0.2823
0.3347 0.3347 0.5055
0.6664 0.6664 0.0047
0.1674 0.6602 0.7840
0.6602 0.1674 0.7840
0.8300 0.8300 0.2837
0.0006 0.0006 0.1875
0.0017 0.0017 0.6877
0.0377 0.4784 0.6564
0.1669 0.1669 0.3983
0.1690 0.6659 0.3977
0.3280 0.3280 0.8920
0.3359 0.8309 0.8990
0.4759 0.4759 0.6550
0.4784 0.0377 0.6564
0.5162 0.9559 0.1575
0.5172 0.5172 0.1571
0.6633 0.6633 0.3903
0.6659 0.1690 0.3977
0.8309 0.3359 0.8990
0.8312 0.8312 0.8985
0.9559 0.5162 0.1575
```

Output
magnetization	20.01	μB per formula unit
uncorrected energy	-227.57	eV/cell


[9]
# TlNi2Br

An optimized crystal structure of TlNi2Br (PBEsol, the Alexandria database).

```
TlNi2Br
1.0
4.6113 0.0000 0.0000
0.0000 4.6345 0.0000
0.0000 0.0000 6.1659
Tl Ni Br
2 4 2
direct
0.0000 0.0000 0.0000
0.5000 0.5000 0.0000
0.0000 0.5000 0.2181
0.0000 0.5000 0.7819
0.5000 0.0000 0.2181
0.5000 0.0000 0.7819
0.0000 0.0000 0.5000
0.5000 0.5000 0.5000
```

Output
E above lowest polymorph	0.000	eV/f.u.
magnetization	0.00	μB per formula unit


[10]
# CsNbGa3

An optimized crystal structure of CsNbGa3 (PBEsol, the Alexandria database).

```
CsNbGa3
1.0
5.4787 0.0000 0.0000
0.0000 5.4787 0.0000
0.0000 0.0000 5.4787
Cs Nb Ga
1 1 3
direct
0.0000 0.0000 0.0000
0.5000 0.5000 0.5000
0.0000 0.0000 0.5000
0.0000 0.5000 0.0000
0.5000 0.0000 0.0000
```

Output
magnetization	3.65	μB per formula unit
uncorrected energy	-11.44	eV/cell


[11]
# Li2TaTl

An optimized crystal structure of Li2TaTl (PBEsol, the Alexandria database).

```
Li2TaTl
1.0
4.3288 0.0000 0.0000
0.0000 4.3288 0.0000
0.0000 0.0000 3.4205
Li Ta Tl
2 1 1
direct
0.0000 0.5000 0.0000
0.5000 0.0000 0.0000
0.0000 0.0000 0.5000
0.5000 0.5000 0.5000
```

Output
magnetization	0.00	μB per formula unit
uncorrected energy	-17.47	eV/cell


[12]
# TcHg2Os

An optimized crystal structure of TcHg2Os (PBEsol, the Alexandria database).

```
TcHg2Os
1.0
2.8687 0.0000 0.0000
0.0000 4.8396 0.0000
0.0000 0.0000 4.8555
Tc Hg Os
1 2 1
direct
0.0000 0.0000 0.0000
0.0000 0.5000 0.5000
0.5000 0.5000 0.0000
0.5000 0.0000 0.5000
```

Output
E above lowest polymorph	0.000	eV/f.u.
magnetization	0.45	μB per formula unit